# 1
# PBE Sc2GaPt, optimized geometry
data_Sc2GaPt
_cell_length_a 3.358
_cell_length_b 3.358
_cell_length_c 6.529
_cell_angle_alpha 90.00
_cell_angle_beta 90.00
_cell_angle_gamma 90.00
_symmetry_space_group_name_H-M 'P 1'
_symmetry_Int_Tables_number 1
_symmetry_space_group_name_Hall 'P 1'
loop_
_atom_site_label
_atom_site_type_symbol
_atom_site_fract_x
_atom_site_fract_y
_atom_site_fract_z
Sc1 Sc 0.000 0.000 0.243
Sc2 Sc 0.000 0.000 0.757
Ga1 Ga 0.500 0.500 0.500
Pt1 Pt 0.500 0.500 0.000
# - Space group: P4/mmm, No. 123
# - Total DFT energy (no corrections): -6.37 eV per atom



# 2
# PBE Sc4Ga3Pt, optimized geometry
data_Sc4Ga3Pt
_cell_length_a 3.500
_cell_length_b 4.231
_cell_length_c 10.503
_cell_angle_alpha 90.00
_cell_angle_beta 90.00
_cell_angle_gamma 90.00
_symmetry_space_group_name_H-M 'P 1'
_symmetry_Int_Tables_number 1
_symmetry_space_group_name_Hall 'P 1'
loop_
_atom_site_label
_atom_site_type_symbol
_atom_site_fract_x
_atom_site_fract_y
_atom_site_fract_z
Sc1 Sc 0.000 0.000 0.000
Sc2 Sc 0.000 0.500 0.280
Sc3 Sc 0.500 0.000 0.479
Sc4 Sc 0.500 0.500 0.788
Ga1 Ga 0.000 0.000 0.715
Ga2 Ga 0.000 0.500 0.559
Ga3 Ga 0.500 0.500 0.054
Pt1 Pt 0.500 0.000 0.217
# - Space group: Pmm2, No. 25
# - Total DFT energy (no corrections): -5.83 eV per atom



# 3
# PBE Sc2Ga2Pt, optimized geometry
data_Sc2Ga2Pt
_cell_length_a 4.007
_cell_length_b 4.007
_cell_length_c 11.867
_cell_angle_alpha 90.00
_cell_angle_beta 90.00
_cell_angle_gamma 90.00
_symmetry_space_group_name_H-M 'P 1'
_symmetry_Int_Tables_number 1
_symmetry_space_group_name_Hall 'P 1'
loop_
_atom_site_label
_atom_site_type_symbol
_atom_site_fract_x
_atom_site_fract_y
_atom_site_fract_z
Sc1 Sc 0.000 0.500 0.250
Sc2 Sc 0.000 0.500 0.750
Sc3 Sc 0.500 0.000 0.250
Sc4 Sc 0.500 0.000 0.750
Ga1 Ga 0.000 0.000 0.095
Ga2 Ga 0.000 0.000 0.905
Ga3 Ga 0.500 0.500 0.405
Ga4 Ga 0.500 0.500 0.595
Pt1 Pt 0.000 0.000 0.500
Pt2 Pt 0.500 0.500 0.000
# - Relative energy among the computed polymorphs: 829 meV/atom
# - Space group: I4/mmm, No. 139



# 4
# PBE Sc2Ga2Pt, optimized geometry
data_Sc2Ga2Pt
_cell_length_a 3.667
_cell_length_b 3.667
_cell_length_c 13.442
_cell_angle_alpha 90.00
_cell_angle_beta 90.00
_cell_angle_gamma 90.00
_symmetry_space_group_name_H-M 'P 1'
_symmetry_Int_Tables_number 1
_symmetry_space_group_name_Hall 'P 1'
loop_
_atom_site_label
_atom_site_type_symbol
_atom_site_fract_x
_atom_site_fract_y
_atom_site_fract_z
Sc1 Sc 0.000 0.000 0.095
Sc2 Sc 0.000 0.000 0.905
Sc3 Sc 0.500 0.500 0.405
Sc4 Sc 0.500 0.500 0.595
Ga1 Ga 0.000 0.500 0.250
Ga2 Ga 0.000 0.500 0.750
Ga3 Ga 0.500 0.000 0.250
Ga4 Ga 0.500 0.000 0.750
Pt1 Pt 0.000 0.000 0.500
Pt2 Pt 0.500 0.500 0.000
# - Relative energy among the computed polymorphs: 575 meV/atom
# - Space group: I4/mmm, No. 139



# 5
# PBE Sc2Ga2Pt, optimized geometry
data_Sc2Ga2Pt
_cell_length_a 6.676
_cell_length_b 6.676
_cell_length_c 4.043
_cell_angle_alpha 90.00
_cell_angle_beta 90.00
_cell_angle_gamma 90.00
_symmetry_space_group_name_H-M 'P 1'
_symmetry_Int_Tables_number 1
_symmetry_space_group_name_Hall 'P 1'
loop_
_atom_site_label
_atom_site_type_symbol
_atom_site_fract_x
_atom_site_fract_y
_atom_site_fract_z
Sc1 Sc 0.170 0.330 0.000
Sc2 Sc 0.330 0.830 0.000
Sc3 Sc 0.670 0.170 0.000
Sc4 Sc 0.830 0.670 0.000
Ga1 Ga 0.133 0.633 0.500
Ga2 Ga 0.367 0.133 0.500
Ga3 Ga 0.633 0.867 0.500
Ga4 Ga 0.867 0.367 0.500
Pt1 Pt 0.000 0.000 0.500
Pt2 Pt 0.500 0.500 0.500
# - Relative energy among the computed polymorphs: 0 meV/atom
# - Space group: P4/mbm, No. 127



# 6
# PBE Sc2GaPt, optimized geometry
data_Sc2GaPt
_cell_length_a 6.540
_cell_length_b 6.540
_cell_length_c 6.540
_cell_angle_alpha 90.00
_cell_angle_beta 90.00
_cell_angle_gamma 90.00
_symmetry_space_group_name_H-M 'P 1'
_symmetry_Int_Tables_number 1
_symmetry_space_group_name_Hall 'P 1'
loop_
_atom_site_label
_atom_site_type_symbol
_atom_site_fract_x
_atom_site_fract_y
_atom_site_fract_z
Sc1 Sc 0.000 0.000 0.000
Sc2 Sc 0.000 0.500 0.500
Sc3 Sc 0.250 0.250 0.250
Sc4 Sc 0.250 0.750 0.750
Sc5 Sc 0.500 0.000 0.500
Sc6 Sc 0.500 0.500 0.000
Sc7 Sc 0.750 0.250 0.750
Sc8 Sc 0.750 0.750 0.250
Ga1 Ga 0.000 0.000 0.500
Ga2 Ga 0.000 0.500 0.000
Ga3 Ga 0.500 0.000 0.000
Ga4 Ga 0.500 0.500 0.500
Pt1 Pt 0.250 0.250 0.750
Pt2 Pt 0.250 0.750 0.250
Pt3 Pt 0.750 0.250 0.250
Pt4 Pt 0.750 0.750 0.750
# - Space group: F-43m, No. 216
# - Total DFT energy (no corrections): -6.12 eV per atom



# 7
# PBE ScGa2Pt, optimized geometry
data_ScGa2Pt
_cell_length_a 6.474
_cell_length_b 6.474
_cell_length_c 6.474
_cell_angle_alpha 90.00
_cell_angle_beta 90.00
_cell_angle_gamma 90.00
_symmetry_space_group_name_H-M 'P 1'
_symmetry_Int_Tables_number 1
_symmetry_space_group_name_Hall 'P 1'
loop_
_atom_site_label
_atom_site_type_symbol
_atom_site_fract_x
_atom_site_fract_y
_atom_site_fract_z
Sc1 Sc 0.000 0.000 0.000
Sc2 Sc 0.000 0.500 0.500
Sc3 Sc 0.500 0.000 0.500
Sc4 Sc 0.500 0.500 0.000
Ga1 Ga 0.000 0.000 0.500
Ga2 Ga 0.000 0.500 0.000
Ga3 Ga 0.250 0.250 0.750
Ga4 Ga 0.250 0.750 0.250
Ga5 Ga 0.500 0.000 0.000
Ga6 Ga 0.500 0.500 0.500
Ga7 Ga 0.750 0.250 0.250
Ga8 Ga 0.750 0.750 0.750
Pt1 Pt 0.250 0.250 0.250
Pt2 Pt 0.250 0.750 0.750
Pt3 Pt 0.750 0.250 0.750
Pt4 Pt 0.750 0.750 0.250
# - Space group: F-43m, No. 216
# - Total DFT energy (no corrections): -5.28 eV per atom



# 8
# PBE Sc2GaSiPt4, optimized geometry
data_Sc2GaSiPt4
_cell_length_a 7.191
_cell_length_b 3.570
_cell_length_c 10.263
_cell_angle_alpha 90.00
_cell_angle_beta 90.00
_cell_angle_gamma 90.00
_symmetry_space_group_name_H-M 'P 1'
_symmetry_Int_Tables_number 1
_symmetry_space_group_name_Hall 'P 1'
loop_
_atom_site_label
_atom_site_type_symbol
_atom_site_fract_x
_atom_site_fract_y
_atom_site_fract_z
Sc1 Sc 0.000 0.000 0.000
Sc2 Sc 0.000 0.500 0.500
Sc3 Sc 0.500 0.000 0.084
Sc4 Sc 0.500 0.500 0.584
Ga1 Ga 0.000 0.000 0.279
Ga2 Ga 0.000 0.500 0.779
Si1 Si 0.500 0.000 0.805
Si2 Si 0.500 0.500 0.305
Pt1 Pt 0.209 0.000 0.672
Pt2 Pt 0.209 0.500 0.172
Pt3 Pt 0.304 0.000 0.407
Pt4 Pt 0.304 0.500 0.907
Pt5 Pt 0.696 0.000 0.407
Pt6 Pt 0.696 0.500 0.907
Pt7 Pt 0.791 0.000 0.672
Pt8 Pt 0.791 0.500 0.172
# - Space group: Amm2, No. 38
# - Total DFT energy (no corrections): -6.76 eV per atom



# 9
# PBE TmScGa4Pt2, optimized geometry
data_TmScGa4Pt2
_cell_length_a 6.668
_cell_length_b 4.290
_cell_length_c 9.948
_cell_angle_alpha 90.00
_cell_angle_beta 90.00
_cell_angle_gamma 90.00
_symmetry_space_group_name_H-M 'P 1'
_symmetry_Int_Tables_number 1
_symmetry_space_group_name_Hall 'P 1'
loop_
_atom_site_label
_atom_site_type_symbol
_atom_site_fract_x
_atom_site_fract_y
_atom_site_fract_z
Tm1 Tm 0.000 0.000 0.000
Tm2 Tm 0.000 0.500 0.500
Sc1 Sc 0.500 0.000 0.166
Sc2 Sc 0.500 0.500 0.666
Ga1 Ga 0.204 0.000 0.711
Ga2 Ga 0.204 0.500 0.211
Ga3 Ga 0.304 0.000 0.452
Ga4 Ga 0.304 0.500 0.952
Ga5 Ga 0.696 0.000 0.452
Ga6 Ga 0.696 0.500 0.952
Ga7 Ga 0.796 0.000 0.711
Ga8 Ga 0.796 0.500 0.211
Pt1 Pt 0.000 0.000 0.288
Pt2 Pt 0.000 0.500 0.788
Pt3 Pt 0.500 0.000 0.879
Pt4 Pt 0.500 0.500 0.379
# - Space group: Amm2, No. 38
# - Total DFT energy (no corrections): -5.28 eV per atom



# 10
# PBE TmScGa2Pt4, optimized geometry
data_TmScGa2Pt4
_cell_length_a 4.331
_cell_length_b 4.331
_cell_length_c 8.863
_cell_angle_alpha 90.00
_cell_angle_beta 90.00
_cell_angle_gamma 120.00
_symmetry_space_group_name_H-M 'P 1'
_symmetry_Int_Tables_number 1
_symmetry_space_group_name_Hall 'P 1'
loop_
_atom_site_label
_atom_site_type_symbol
_atom_site_fract_x
_atom_site_fract_y
_atom_site_fract_z
Tm1 Tm 0.000 0.000 0.000
Sc1 Sc 0.667 0.333 0.500
Ga1 Ga 0.333 0.667 0.253
Ga2 Ga 0.333 0.667 0.747
Pt1 Pt 0.000 0.000 0.343
Pt2 Pt 0.000 0.000 0.657
Pt3 Pt 0.667 0.333 0.167
Pt4 Pt 0.667 0.333 0.833
# - Space group: P-6m2, No. 187
# - Total DFT energy (no corrections): -6.19 eV per atom



# 11
# PBE GaSiPt, optimized geometry
data_GaSiPt
_cell_length_a 5.871
_cell_length_b 5.938
_cell_length_c 5.902
_cell_angle_alpha 90.00
_cell_angle_beta 90.75
_cell_angle_gamma 90.00
_symmetry_space_group_name_H-M 'P 1'
_symmetry_Int_Tables_number 1
_symmetry_space_group_name_Hall 'P 1'
loop_
_atom_site_label
_atom_site_type_symbol
_atom_site_fract_x
_atom_site_fract_y
_atom_site_fract_z
Ga1 Ga 0.000 0.246 0.000
Ga2 Ga 0.000 0.754 0.000
Ga3 Ga 0.500 0.254 0.000
Ga4 Ga 0.500 0.746 0.000
Si1 Si 0.000 0.254 0.500
Si2 Si 0.000 0.746 0.500
Si3 Si 0.500 0.246 0.500
Si4 Si 0.500 0.754 0.500
Pt1 Pt 0.250 0.000 0.723
Pt2 Pt 0.250 0.500 0.277
Pt3 Pt 0.750 0.000 0.277
Pt4 Pt 0.750 0.500 0.723
# - Space group: C2/m, No. 12
# - Total DFT energy (no corrections): -5.38 eV per atom



# 12
# PBE GaSiPt, optimized geometry
data_GaSiPt
_cell_length_a 5.904
_cell_length_b 5.904
_cell_length_c 5.904
_cell_angle_alpha 90.00
_cell_angle_beta 90.00
_cell_angle_gamma 90.00
_symmetry_space_group_name_H-M 'P 1'
_symmetry_Int_Tables_number 1
_symmetry_space_group_name_Hall 'P 1'
loop_
_atom_site_label
_atom_site_type_symbol
_atom_site_fract_x
_atom_site_fract_y
_atom_site_fract_z
Ga1 Ga 0.000 0.000 0.000
Ga2 Ga 0.000 0.500 0.500
Ga3 Ga 0.500 0.000 0.500
Ga4 Ga 0.500 0.500 0.000
Si1 Si 0.000 0.000 0.500
Si2 Si 0.000 0.500 0.000
Si3 Si 0.500 0.000 0.000
Si4 Si 0.500 0.500 0.500
Pt1 Pt 0.250 0.250 0.250
Pt2 Pt 0.250 0.750 0.750
Pt3 Pt 0.750 0.250 0.750
Pt4 Pt 0.750 0.750 0.250
# - Space group: F-43m, No. 216
# - Total DFT energy (no corrections): -5.35 eV per atom